# meta-GGA SCAN Al2CrCl, single point on PBEsol structure
data_Al2CrCl
_chemical_formula_sum 'Al4 Cr2 Cl2'
_space_group_name_H-M_alt 'I m m m'
_space_group_IT_number 71
_space_group_name_Hall '-I 2 2'
_cell_length_a 3.024
_cell_length_b 4.882
_cell_length_c 8.906
_cell_angle_alpha 90.00
_cell_angle_beta 90.00
_cell_angle_gamma 90.00
loop_
_atom_site_label
_atom_site_type_symbol
_atom_site_fract_x
_atom_site_fract_y
_atom_site_fract_z
Al1 Al 0.000 0.000 0.246
Cr1 Cr 0.000 0.500 0.500
Cl1 Cl 0.000 0.500 0.000
# - E_form (uncorrected): 0.1547 eV/atom
# - Total magnetization: 0.899 μB per atom
# - E above lowest polymorph: 0.175 eV/atom


# meta-GGA SCAN Al2CrCl, single point on PBEsol structure
data_Al2CrCl
_chemical_formula_sum 'Al2 Cr1 Cl1'
_space_group_name_H-M_alt 'P 4 m m'
_space_group_IT_number 99
_cell_length_a 2.851
_cell_length_b 2.851
_cell_length_c 8.203
_cell_angle_alpha 90.00
_cell_angle_beta 90.00
_cell_angle_gamma 90.00
loop_
_space_group_symop_operation_xyz
'x,y,z'
'-y,x,z'
'-x,-y,z'
'y,-x,z'
'-x,y,z'
'y,x,z'
'x,-y,z'
'-y,-x,z'
loop_
_atom_site_label
_atom_site_type_symbol
_atom_site_fract_x
_atom_site_fract_y
_atom_site_fract_z
Al1 Al 0.000 0.000 0.000
Al2 Al 0.500 0.500 0.250
Cr1 Cr 0.500 0.500 0.788
Cl1 Cl 0.000 0.000 0.614
# - E_form (uncorrected): -0.0204 eV/atom
# - Total magnetization: 0.745 μB per atom
# - E above lowest polymorph: 0.000 eV/atom


# meta-GGA SCAN AlCrCl3, single point on PBEsol structure
data_AlCrCl3
_chemical_formula_sum 'Al1 Cr1 Cl3'
_space_group_name_H-M_alt 'P m -3 m'
_space_group_IT_number 221
_space_group_name_Hall '-P 4 2 3'
_cell_length_a 4.773
_cell_length_b 4.773
_cell_length_c 4.773
_cell_angle_alpha 90.00
_cell_angle_beta 90.00
_cell_angle_gamma 90.00
loop_
_atom_site_label
_atom_site_type_symbol
_atom_site_fract_x
_atom_site_fract_y
_atom_site_fract_z
Al1 Al 0.000 0.000 0.000
Cr1 Cr 0.500 0.500 0.500
Cl1 Cl 0.000 0.000 0.500
# - E_form (uncorrected): -0.6106 eV/atom
# - Total magnetization: 1.068 μB per atom


# meta-GGA SCAN Al4CrCl, single point on PBEsol structure
data_Al4CrCl
_chemical_formula_sum 'Al16 Cr4 Cl4'
_space_group_name_H-M_alt 'F -4 3 m'
_space_group_IT_number 216
_space_group_name_Hall 'F -4 2 3'
_cell_length_a 7.481
_cell_length_b 7.481
_cell_length_c 7.481
_cell_angle_alpha 90.00
_cell_angle_beta 90.00
_cell_angle_gamma 90.00
loop_
_atom_site_label
_atom_site_type_symbol
_atom_site_fract_x
_atom_site_fract_y
_atom_site_fract_z
Al1 Al 0.124 0.124 0.376
Cr1 Cr 0.250 0.250 0.750
Cl1 Cl 0.000 0.000 0.000
# - E_form (uncorrected): 0.2250 eV/atom
# - Total magnetization: 0.526 μB per atom


# meta-GGA SCAN CsAlCl4, single point on PBEsol structure
data_CsAlCl4
_chemical_formula_sum 'Cs4 Al4 Cl16'
_space_group_name_H-M_alt 'P n m a'
_space_group_IT_number 62
_cell_length_a 11.649
_cell_length_b 6.980
_cell_length_c 9.370
_cell_angle_alpha 90.00
_cell_angle_beta 90.00
_cell_angle_gamma 90.00
loop_
_space_group_symop_operation_xyz
'x,y,z'
'-x,-y,-z'
'-x+1/2,-y,z+1/2'
'x+1/2,y,-z+1/2'
'x+1/2,-y+1/2,-z+1/2'
'-x+1/2,y+1/2,z+1/2'
'-x,y+1/2,-z'
'x,-y+1/2,z'
loop_
_atom_site_label
_atom_site_type_symbol
_atom_site_fract_x
_atom_site_fract_y
_atom_site_fract_z
Cs1 Cs 0.182 0.250 0.161
Al1 Al 0.067 0.250 0.699
Cl1 Cl 0.087 0.001 0.832
Cl2 Cl 0.101 0.750 0.393
Cl3 Cl 0.202 0.250 0.543
# - E_form (uncorrected): -2.0185 eV/atom
# - Total magnetization: 0.000 μB per atom


# meta-GGA SCAN Cs2AlInCl6, single point on PBEsol structure
data_Cs2AlInCl6
_chemical_formula_sum 'Cs8 Al4 In4 Cl24'
_space_group_name_H-M_alt 'F m -3 m'
_space_group_IT_number 225
_space_group_name_Hall '-F 4 2 3'
_cell_length_a 10.587
_cell_length_b 10.587
_cell_length_c 10.587
_cell_angle_alpha 90.00
_cell_angle_beta 90.00
_cell_angle_gamma 90.00
loop_
_atom_site_label
_atom_site_type_symbol
_atom_site_fract_x
_atom_site_fract_y
_atom_site_fract_z
Cs1 Cs 0.250 0.250 0.250
Al1 Al 0.000 0.000 0.000
In1 In 0.000 0.000 0.500
Cl1 Cl 0.000 0.000 0.220
# - E_form (uncorrected): -1.7998 eV/atom
# - Total magnetization: 0.000 μB per atom


# meta-GGA SCAN CsK2AlCl6, single point on PBEsol structure
data_CsK2AlCl6
_chemical_formula_sum 'Cs4 K8 Al4 Cl24'
_space_group_name_H-M_alt 'F m -3 m'
_space_group_IT_number 225
_space_group_name_Hall '-F 4 2 3'
_cell_length_a 10.907
_cell_length_b 10.907
_cell_length_c 10.907
_cell_angle_alpha 90.00
_cell_angle_beta 90.00
_cell_angle_gamma 90.00
loop_
_atom_site_label
_atom_site_type_symbol
_atom_site_fract_x
_atom_site_fract_y
_atom_site_fract_z
Cs1 Cs 0.000 0.000 0.000
K1 K 0.250 0.250 0.250
Al1 Al 0.000 0.000 0.500
Cl1 Cl 0.000 0.000 0.288
# - E_form (uncorrected): -1.9153 eV/atom
# - Total magnetization: 0.000 μB per atom


# meta-GGA SCAN Cs2KAlCl6, single point on PBEsol structure
data_Cs2KAlCl6
_chemical_formula_sum 'Cs8 K4 Al4 Cl24'
_space_group_name_H-M_alt 'F m -3 m'
_space_group_IT_number 225
_space_group_name_Hall '-F 4 2 3'
_cell_length_a 10.543
_cell_length_b 10.543
_cell_length_c 10.543
_cell_angle_alpha 90.00
_cell_angle_beta 90.00
_cell_angle_gamma 90.00
loop_
_atom_site_label
_atom_site_type_symbol
_atom_site_fract_x
_atom_site_fract_y
_atom_site_fract_z
Cs1 Cs 0.250 0.250 0.250
K1 K 0.000 0.000 0.000
Al1 Al 0.000 0.000 0.500
Cl1 Cl 0.000 0.000 0.279
# - E_form (uncorrected): -2.0833 eV/atom
# - Total magnetization: 0.000 μB per atom


# meta-GGA SCAN CsAl2OsCl, single point on PBEsol structure
data_CsAl2OsCl
_chemical_formula_sum 'Cs1 Al2 Os1 Cl1'
_space_group_name_H-M_alt 'P 4/m m m'
_space_group_IT_number 123
_space_group_name_Hall '-P 4 2'
_cell_length_a 6.177
_cell_length_b 6.177
_cell_length_c 4.958
_cell_angle_alpha 90.00
_cell_angle_beta 90.00
_cell_angle_gamma 90.00
loop_
_atom_site_label
_atom_site_type_symbol
_atom_site_fract_x
_atom_site_fract_y
_atom_site_fract_z
Cs1 Cs 0.000 0.000 0.000
Al1 Al 0.000 0.500 0.000
Os1 Os 0.000 0.000 0.500
Cl1 Cl 0.500 0.500 0.500
# - E_form (uncorrected): 2.2883 eV/atom
# - Total magnetization: 0.194 μB per atom


# meta-GGA SCAN Cs2AlTlCl6, single point on PBEsol structure
data_Cs2AlTlCl6
_chemical_formula_sum 'Cs8 Al4 Tl4 Cl24'
_space_group_name_H-M_alt 'F m -3 m'
_space_group_IT_number 225
_space_group_name_Hall '-F 4 2 3'
_cell_length_a 10.636
_cell_length_b 10.636
_cell_length_c 10.636
_cell_angle_alpha 90.00
_cell_angle_beta 90.00
_cell_angle_gamma 90.00
loop_
_atom_site_label
_atom_site_type_symbol
_atom_site_fract_x
_atom_site_fract_y
_atom_site_fract_z
Cs1 Cs 0.250 0.250 0.250
Al1 Al 0.000 0.000 0.000
Tl1 Tl 0.000 0.000 0.500
Cl1 Cl 0.000 0.000 0.219
# - E_form (uncorrected): -1.8472 eV/atom
# - Total magnetization: 0.000 μB per atom


# meta-GGA SCAN AlCuCl3, single point on PBEsol structure
data_AlCuCl3
_chemical_formula_sum 'Al1 Cu1 Cl3'
_space_group_name_H-M_alt 'P m -3 m'
_space_group_IT_number 221
_space_group_name_Hall '-P 4 2 3'
_cell_length_a 4.673
_cell_length_b 4.673
_cell_length_c 4.673
_cell_angle_alpha 90.00
_cell_angle_beta 90.00
_cell_angle_gamma 90.00
loop_
_atom_site_label
_atom_site_type_symbol
_atom_site_fract_x
_atom_site_fract_y
_atom_site_fract_z
Al1 Al 0.000 0.000 0.000
Cu1 Cu 0.500 0.500 0.500
Cl1 Cl 0.000 0.500 0.500
# - E_form (uncorrected): -0.4300 eV/atom
# - Total magnetization: 0.000 μB per atom


# meta-GGA SCAN AlCu2Cl, single point on PBEsol structure
data_AlCu2Cl
_chemical_formula_sum 'Al1 Cu2 Cl1'
_space_group_name_H-M_alt 'P 4 m m'
_space_group_IT_number 99
_cell_length_a 3.002
_cell_length_b 3.002
_cell_length_c 6.706
_cell_angle_alpha 90.00
_cell_angle_beta 90.00
_cell_angle_gamma 90.00
loop_
_space_group_symop_operation_xyz
'x,y,z'
'-y,x,z'
'-x,-y,z'
'y,-x,z'
'-x,y,z'
'y,x,z'
'x,-y,z'
'-y,-x,z'
loop_
_atom_site_label
_atom_site_type_symbol
_atom_site_fract_x
_atom_site_fract_y
_atom_site_fract_z
Al1 Al 0.000 0.000 0.000
Cu1 Cu 0.000 0.000 0.600
Cu2 Cu 0.500 0.500 0.814
Cl1 Cl 0.500 0.500 0.377
# - E_form (uncorrected): -0.0176 eV/atom
# - Total magnetization: 0.000 μB per atom


Calculated E, -41.247, -41.948, -53.123, -56.020, -89.585, -182.624, -129.241, -160.402, -121.730, -222.071, -49.035, -46.199 eV/f.u. (same order as the records).
Calculated volume, 131, 67, 109, 419, 762, 1187, 1298, 1172, 189, 1203, 102, 60 Å³/cell (same order as the records).